Record 1
This record from Alexandria describes a relaxed Nb2AsOs crystal. The functional is GGA-PBE.

Cell: 5.5246 5.5246 7.5033 Å, 68.40 68.40 90.00°
Last column: nearest neighbours and their distance in Å.
Positions (direct):
Os: 0.0000 0.0000 0.0000  4 Nb 2.50
Os: 0.7500 0.2500 0.5000  4 Nb 2.50
Nb: 0.1147 0.6250 0.2500  2 Os 2.50, 2 As 2.56
Nb: 0.8750 0.8853 0.7500  2 Os 2.50, 2 As 2.56
Nb: 0.6353 0.1250 0.2500  2 Os 2.50, 2 As 2.56
Nb: 0.3750 0.3647 0.7500  2 Os 2.50, 2 As 2.56
As: 0.2500 0.7500 0.5000  4 Nb 2.56
As: 0.5000 0.5000 0.0000  4 Nb 2.56

Results
Total energy in eV/atom: -8.29
M_tot in μB per cell: 0.00

Record 2
This record from Alexandria describes a relaxed Co3CuH crystal. The functional is GGA-PBE.

Cell: 3.6033 3.6033 3.6033 Å, 90.00 90.00 90.00°
Last column: nearest neighbours and their distance in Å.
Positions (direct):
Co: 0.0000 0.0000 0.5000  2 H 1.80
Co: 0.5000 0.0000 0.0000  2 H 1.80
Co: 0.0000 0.5000 0.0000  2 H 1.80
Cu: 0.5000 0.5000 0.5000  12 Co 2.55
H: 0.0000 0.0000 0.0000  6 Co 1.80

Results
Energy above the lowest structure with this stoichiometry in eV per formula unit: 0.00
M_tot in μB per cell: 4.64

Record 3
This record from Alexandria describes a relaxed RhNCl2 crystal. The functional is GGA-PBE.

Cell: 4.3103 4.3103 4.3103 Å, 60.00 60.00 60.00°
Last column: nearest neighbours and their distance in Å.
Positions (direct):
Cl: 0.2500 0.2500 0.2500  4 Rh 2.64, 4 N 2.64
Cl: 0.7500 0.7500 0.7500  4 Rh 2.64, 4 N 2.64
N: 0.0000 0.0000 0.0000  8 Cl 2.64
Rh: 0.5000 0.5000 0.5000  8 Cl 2.64

Results
E_form (uncorrected) in meV/atom: 1663
Energy above the lowest structure with this stoichiometry in eV per formula unit: 5.36
M_tot in μB per cell: 0.00

Record 4
This record from Alexandria describes a relaxed FeTe2Ru crystal. The functional is GGA-PBE.

Cell: 4.2659 4.2659 6.0000 Å, 76.88 76.88 46.71°
Last column: nearest neighbours and their distance in Å.
Positions (direct):
Te: 0.9999 0.9999 0.9999  3 Ru 2.74-2.75, 3 Fe 2.74
Te: 0.5001 0.5001 0.5001  3 Ru 2.74-2.75, 3 Fe 2.74
Ru: 0.2500 0.2500 0.2500  6 Te 2.74-2.75
Fe: 0.7500 0.7500 0.7500  6 Te 2.74

Results
E_form (uncorrected) in meV/atom: 329
Energy above the lowest structure with this stoichiometry in eV per formula unit: 1.42
M_tot in μB per cell: 2.87